(1)
ThSc3Pd2 | PBE | optimized geometry

Results
- total magnetic moment (μB/atom) = 0.0000
- E_form (kJ/mol of atoms) = -56.2

abc: 3.3189 3.3189 11.5841
angles: 90.00 90.00 90.00
Closest atoms and distances in Å follow each position.
Fractional positions:
Th 0.5000 0.5000 0.5000  4 Th 3.32, 8 Sc 3.41
Sc 0.0000 0.0000 0.0000  8 Pd 2.87
Sc 0.0000 0.0000 0.7141  4 Pd 2.87
Sc 0.0000 0.0000 0.2859  4 Pd 2.87
Pd 0.5000 0.5000 0.8570  8 Sc 2.87
Pd 0.5000 0.5000 0.1430  8 Sc 2.87


(2)
Na3NiGe | PBE | optimized geometry

Results
- total magnetic moment (μB/atom) = 0.0000
- E_form (kJ/mol of atoms) = 66.3

abc: 5.1697 5.1697 5.1697
angles: 90.00 90.00 90.00
Closest atoms and distances in Å follow each position.
Fractional positions:
Ni 0.0000 0.0000 0.0000  6 Na 2.58
Ge 0.5000 0.5000 0.5000  12 Na 3.66
Na 0.0000 0.5000 0.0000  2 Ni 2.58
Na 0.0000 0.0000 0.5000  2 Ni 2.58
Na 0.5000 0.0000 0.0000  2 Ni 2.58


(3)
NpPdPt | PBE | optimized geometry

Results
- total magnetic moment (μB/atom) = 1.1522
- E_form (kJ/mol of atoms) = -40.7

abc: 5.2953 5.2953 4.7514
angles: 90.00 90.00 123.42
Closest atoms and distances in Å follow each position.
Fractional positions:
Pd 0.9188 0.0812 0.7500  2 Pd 2.82, 5 Pt 2.86-3.10, 3 Np 2.97-3.08
Pd 0.0812 0.9188 0.2500  2 Pd 2.82, 5 Pt 2.86-3.10, 3 Np 2.97-3.08
Pt 0.2515 0.7485 0.7500  5 Np 2.81-3.14, 5 Pd 2.86-3.10
Pt 0.7485 0.2515 0.2500  5 Np 2.81-3.14, 5 Pd 2.86-3.10
Np 0.4118 0.5882 0.2500  5 Pt 2.81-3.14, 2 Np 2.89, 3 Pd 2.97-3.08
Np 0.5882 0.4118 0.7500  5 Pt 2.81-3.14, 2 Np 2.89, 3 Pd 2.97-3.08


(4)
CsHfSi2Se | PBE | optimized geometry

Results
- total magnetic moment (μB/atom) = 0.0000
- energy relative to the elements, uncorrected (eV/atom) = 2.390

abc: 5.3858 5.5260 5.3858
angles: 90.00 90.00 90.00
Closest atoms and distances in Å follow each position.
Fractional positions:
Cs 0.0000 0.0000 0.0000  4 Si 2.69, 2 Hf 2.76
Si 0.0000 0.0000 0.5000  2 Cs 2.69
Si 0.5000 0.0000 0.0000  2 Cs 2.69
Hf 0.0000 0.5000 0.0000  2 Cs 2.76
Se 0.5000 0.5000 0.5000  4 Hf 3.81, 8 Si 3.86


(5)
CdBiSCl2 | PBE | optimized geometry

Results
- total magnetic moment (μB/atom) = 0.0000
- energy relative to the elements, uncorrected (eV/atom) = -0.265

abc: 5.3966 5.3966 5.4639
angles: 90.00 90.00 90.00
Closest atoms and distances in Å follow each position.
Fractional positions:
S 0.0000 0.0000 0.5000  2 Bi 2.73
Cl 0.0000 0.5000 0.0000  2 Bi 2.70
Cl 0.5000 0.0000 0.0000  2 Bi 2.70
Bi 0.0000 0.0000 0.0000  4 Cl 2.70, 2 S 2.73
Cd 0.5000 0.5000 0.5000  4 S 3.82, 8 Cl 3.84


(6)
HfZrTiIr | PBE | optimized geometry

Results
- total magnetic moment (μB/atom) = 0.0006
- E_form (kJ/mol of atoms) = -49.1

abc: 4.5906 3.3216 5.6176
angles: 107.20 114.12 90.00
Closest atoms and distances in Å follow each position.
Fractional positions:
Hf 0.1190 0.1190 0.2380  4 Ir 2.83, 2 Zr 3.06, 2 Ti 3.09
Zr 0.3844 0.8844 0.7688  4 Ti 2.85, 2 Ir 2.87, 2 Hf 3.06
Ti 0.8501 0.3501 0.7003  2 Ir 2.74, 4 Zr 2.85
Ir 0.6256 0.6256 0.2512  2 Ti 2.74, 4 Hf 2.83, 2 Zr 2.87


(7)
B5C | PBE | optimized geometry

Results
- total magnetic moment (μB/atom) = 0.0000
- E_form (kJ/mol of atoms) = 45.5

abc: 7.6298 7.6298 4.8974
angles: 99.48 99.48 17.19
Closest atoms and distances in Å follow each position.
Fractional positions:
B 0.9282 0.9282 0.1870  1 C 1.67, 3 B 1.73-1.74
B 0.3395 0.3395 0.1445  4 B 1.72-1.79
B 0.2530 0.2530 0.3545  4 B 1.79-1.84
B 0.9982 0.9982 0.5048  4 B 1.72-1.73
B 0.9233 0.9233 0.7339  3 B 1.72-1.79, 1 C 1.72
B 0.6600 0.6600 0.3077  3 B 1.72-1.79, 1 C 1.72
B 0.5851 0.5851 0.5369  4 B 1.72-1.73
B 0.3304 0.3304 0.6871  4 B 1.79-1.84
B 0.2438 0.2438 0.8972  4 B 1.72-1.79
B 0.6551 0.6551 0.8547  1 C 1.67, 3 B 1.73-1.74
C 0.0122 0.0122 0.0055  2 C 1.44
C 0.5711 0.5711 0.0362  2 C 1.44


(8)
PAu2 | PBE | optimized geometry

Results
- total magnetic moment (μB/atom) = 0.0000
- E_form (kJ/mol of atoms) = 14.1

abc: 6.1351 6.1351 5.8652
angles: 69.75 69.75 32.47
Closest atoms and distances in Å follow each position.
Fractional positions:
P 0.2017 0.2017 0.3369  5 Au 2.44-2.72
P 0.7983 0.7983 0.6631  5 Au 2.44-2.72
Au 0.5861 0.5861 0.2200  2 P 2.44
Au 0.8934 0.8934 0.2155  3 P 2.45-2.72
Au 0.1066 0.1066 0.7845  3 P 2.45-2.72
Au 0.4139 0.4139 0.7800  2 P 2.44


(9)
Ac2Pr5Ga4 | PBE | optimized geometry

Results
- total magnetic moment (μB/atom) = 0.0000
- E_form (kJ/mol of atoms) = -25.8

abc: 6.9986 7.9850 7.8410
angles: 72.67 63.49 64.01
Closest atoms and distances in Å follow each position.
Fractional positions:
Ac 0.2943 0.7553 0.6562  4 Ga 3.39-3.62
Ac 0.7057 0.2447 0.3438  4 Ga 3.39-3.62
Pr 0.2333 0.2048 0.8548  3 Ga 3.05-3.20, 2 Pr 3.32-3.36
Pr 0.7667 0.7952 0.1452  3 Ga 3.05-3.20, 2 Pr 3.32-3.36
Pr 0.0000 0.5000 0.5000  4 Ga 3.02-3.18
Pr 0.7071 0.2048 0.8548  3 Ga 3.05-3.20, 2 Pr 3.32-3.36
Pr 0.2929 0.7952 0.1452  3 Ga 3.05-3.20, 2 Pr 3.32-3.36
Ga 0.2880 0.1308 0.2931  1 Ga 2.67
Ga 0.7120 0.8692 0.7069  1 Ga 2.67
Ga 0.7696 0.5363 0.9245  1 Ga 2.67
Ga 0.2304 0.4637 0.0755  1 Ga 2.67


(10)
LaSbW2 | PBE | optimized geometry

Results
- total magnetic moment (μB/atom) = 0.0000
- energy relative to the elements, uncorrected (eV/atom) = 0.307

abc: 4.5995 4.5995 6.6924
angles: 80.62 80.62 43.52
Closest atoms and distances in Å follow each position.
Fractional positions:
La 0.5084 0.5084 0.4846  3 Sb 3.21-3.39, 5 W 3.24-3.50, 2 La 3.41
Sb 0.7359 0.7359 0.8192  5 W 2.80-2.92
W 0.9903 0.9903 0.0321  3 W 2.61-2.65, 3 Sb 2.80-2.88
W 0.2653 0.2653 0.1642  3 W 2.61-2.65, 2 Sb 2.92


(11)
DyHo3TmTh | PBE | optimized geometry

Results
- total magnetic moment (μB/atom) = 0.0000
- E_form (kJ/mol of atoms) = 3.5

abc: 4.9977 7.8690 10.0475
angles: 90.00 90.00 108.52
Closest atoms and distances in Å follow each position.
Fractional positions:
Dy 0.0000 0.0000 0.5000  6 Ho 3.50-3.53, 2 Tm 3.53, 4 Th 3.54
Dy 0.0000 0.0000 0.0000  6 Ho 3.50-3.53, 2 Tm 3.53, 4 Th 3.54
Ho 0.6643 0.3286 0.5003  2 Dy 3.50, 2 Th 3.51, 5 Ho 3.54-3.58, 3 Tm 3.55-3.56
Ho 0.3357 0.6714 0.4997  2 Dy 3.50, 2 Th 3.51, 5 Ho 3.54-3.58, 3 Tm 3.55-3.56
Ho 0.3357 0.6714 0.0003  2 Dy 3.50, 2 Th 3.51, 5 Ho 3.54-3.58, 3 Tm 3.55-3.56
Ho 0.6643 0.3286 0.9997  2 Dy 3.50, 2 Th 3.51, 5 Ho 3.54-3.58, 3 Tm 3.55-3.56
Ho 0.1663 0.3326 0.7500  2 Th 3.53, 2 Dy 3.53, 2 Tm 3.53, 6 Ho 3.54-3.57
Ho 0.8337 0.6674 0.2500  2 Th 3.53, 2 Dy 3.53, 2 Tm 3.53, 6 Ho 3.54-3.57
Tm 0.8339 0.6677 0.7500  2 Th 3.52, 2 Dy 3.53, 8 Ho 3.53-3.56
Tm 0.1661 0.3323 0.2500  2 Th 3.52, 2 Dy 3.53, 8 Ho 3.53-3.56
Th 0.4996 0.9993 0.7500  6 Ho 3.51-3.53, 2 Tm 3.52, 4 Dy 3.54
Th 0.5004 0.0007 0.2500  6 Ho 3.51-3.53, 2 Tm 3.52, 4 Dy 3.54


(12)
LiPrDy | PBE | optimized geometry

Results
- total magnetic moment (μB/atom) = 0.0000
- E_form (kJ/mol of atoms) = 10.2

abc: 3.5432 3.5432 8.4280
angles: 90.00 90.00 120.00
Closest atoms and distances in Å follow each position.
Fractional positions:
Pr 0.3333 0.6667 0.6693  3 Li 3.49, 3 Dy 3.54, 6 Pr 3.54
Li 0.0000 0.0000 0.0046  3 Dy 3.40, 3 Pr 3.49, 6 Li 3.54
Dy 0.6667 0.3333 0.3261  3 Li 3.40, 3 Pr 3.54, 6 Dy 3.54


(13)
NdSc2Cd | PBE | optimized geometry

Results
- total magnetic moment (μB/atom) = 0.0000
- E_form (kJ/mol of atoms) = -2.7

abc: 3.4178 3.4178 10.5693
angles: 80.70 80.70 60.00
Closest atoms and distances in Å follow each position.
Fractional positions:
Sc 0.2569 0.2569 0.2294  3 Cd 3.09, 6 Sc 3.42, 3 Nd 3.43
Sc 0.7431 0.7431 0.7706  3 Cd 3.09, 6 Sc 3.42, 3 Nd 3.43
Nd 0.5000 0.5000 0.5000  6 Nd 3.42, 6 Sc 3.43
Cd 0.0000 0.0000 0.0000  6 Sc 3.09, 6 Cd 3.42


(14)
NdZnHPd2 | PBE | optimized geometry

Results
- total magnetic moment (μB/atom) = 0.0000
- VASP energy (eV/atom) = -4.5841

abc: 3.9364 5.8133 7.5225
angles: 90.00 90.00 109.79
Closest atoms and distances in Å follow each position.
Fractional positions:
Nd 0.4469 0.8937 0.7500  4 H 2.78, 3 Zn 3.08-3.10
Nd 0.5531 0.1063 0.2500  4 H 2.78, 3 Zn 3.08-3.10
Zn 0.7281 0.4562 0.7500  6 Pd 2.58-2.62
Zn 0.2719 0.5438 0.2500  6 Pd 2.58-2.62
H 0.0000 0.0000 0.0000  2 Pd 1.75
H 0.0000 0.0000 0.5000  2 Pd 1.75
Pd 0.1552 0.3104 0.9459  1 H 1.75
Pd 0.8448 0.6896 0.0541  1 H 1.75
Pd 0.1552 0.3104 0.5541  1 H 1.75
Pd 0.8448 0.6896 0.4459  1 H 1.75


(15)
Er3HfNi8 | PBE | optimized geometry

Results
- total magnetic moment (μB/atom) = 0.0000
- E_form (kJ/mol of atoms) = -44.8

abc: 4.9973 4.9973 8.6750
angles: 73.26 73.26 60.00
Closest atoms and distances in Å follow each position.
Fractional positions:
Er 0.3748 0.3748 0.8755  12 Ni 2.93-2.98, 4 Er 3.06-3.08
Er 0.9994 0.9994 0.0018  12 Ni 2.93-3.00, 1 Hf 3.04, 3 Er 3.06
Er 0.5004 0.5004 0.4989  12 Ni 2.88-2.93, 3 Hf 3.06, 1 Er 3.08
Hf 0.8754 0.8754 0.3738  12 Ni 2.90-2.93, 4 Er 3.04-3.06
Ni 0.9336 0.4365 0.1934  6 Ni 2.47-2.54
Ni 0.4425 0.9379 0.6817  6 Ni 2.47-2.53
Ni 0.4365 0.4365 0.1934  6 Ni 2.47-2.54
Ni 0.9379 0.9379 0.6817  6 Ni 2.47-2.53
Ni 0.1875 0.1875 0.4374  6 Ni 2.47
Ni 0.6876 0.6876 0.9371  6 Ni 2.53-2.54
Ni 0.4365 0.9336 0.1934  6 Ni 2.47-2.54
Ni 0.9379 0.4425 0.6817  6 Ni 2.47-2.53


(16)
Fe2TeW | PBE | optimized geometry

Results
- total magnetic moment (μB/atom) = 1.0769
- energy relative to the elements, uncorrected (eV/atom) = 0.604

abc: 2.8573 2.8573 8.4743
angles: 90.00 90.00 108.98
Closest atoms and distances in Å follow each position.
Fractional positions:
Fe 0.0000 0.0000 0.9768  2 W 2.54
Fe 0.0000 0.0000 0.5232  2 W 2.54
Te 0.5000 0.5000 0.2500  4 Fe 2.85, 4 Te 2.86
W 0.5000 0.5000 0.7500  4 Fe 2.54